The following is a DFT calculation (GGA-PBE) of crystalline U2Br5O at its relaxed geometry.

Cell: 7.762 7.762 20.440 Å, 90.00 90.00 154.32°
Fractional coordinates of all 16 atoms:
U1 0.247 0.753 0.673
U2 0.247 0.753 0.827
U3 0.753 0.247 0.173
U4 0.753 0.247 0.327
Br1 0.104 0.896 0.250
Br2 0.162 0.838 0.082
Br3 0.162 0.838 0.418
Br4 0.389 0.611 0.119
Br5 0.389 0.611 0.381
Br6 0.611 0.389 0.619
Br7 0.611 0.389 0.881
Br8 0.838 0.162 0.582
Br9 0.838 0.162 0.918
Br10 0.896 0.104 0.750
O1 0.288 0.712 0.250
O2 0.712 0.288 0.750

Output
As for the space group: Cmcm. The value obtained for the density is 5.55 g cm⁻³. For the uncorrected formation energy, the calculation gives -1.4576 eV/atom. The total energy is -5.9449 eV per atom.